# 1
Tb2YIn3CuPd2: relaxed, GGA-PBE.

```
9
Lattice="3.860 0.000 0.000 0.000 6.654 3.832 0.000 -6.654 3.832" Properties=species:S:1:pos:R:3 pbc="T T T"
Tb 0.000 -3.916 3.832
Tb 0.000 3.916 3.832
Y 0.000 0.000 4.721
In 1.930 -1.665 2.538
In 1.930 1.665 2.538
In 1.930 0.000 7.312
Cu 0.000 0.000 1.572
Pd 1.930 -2.226 5.412
Pd 1.930 2.226 5.412
```

The space group is Amm2, No. 38.

# 2
NaZnSbPt: relaxed, GGA-PBE.

```
4
Lattice="0.000 3.362 3.362 3.362 0.000 3.362 3.362 3.362 0.000" Properties=species:S:1:pos:R:3 pbc="T T T"
Na 0.000 0.000 0.000
Zn 5.044 5.044 5.044
Sb 3.362 3.362 3.362
Pt 1.681 1.681 1.681
```

As for the offset from the most stable computed form: 107 meV per atom. The space group is F-43m, No. 216.

# 3
Zn3PdPt2: relaxed, GGA-PBE.

```
6
Lattice="2.884 0.000 0.000 0.000 2.884 0.000 0.000 0.000 10.468" Properties=species:S:1:pos:R:3 pbc="T T T"
Zn 0.000 0.000 0.000
Zn 0.000 0.000 3.506
Zn 0.000 0.000 6.962
Pd 1.442 1.442 5.234
Pt 1.442 1.442 1.764
Pt 1.442 1.442 8.704
```

The calculation puts the formation energy at -0.5724 eV per atom. The space group is P4/mmm, No. 123.

Short version: total energy = -4.928, -3.313, -4.086 eV/atom, in the order given.